[1]
KFeSe2 | GGA-PBE | relaxed

Properties
E_form (uncorrected)	-1.9	eV per formula unit
N(E_F)	3.282	states/eV/f.u.

a b c (Å): 5.309 5.309 7.925
angles (deg): 117.58 117.58 38.65
Last column: magnetic moment on the atom in μB.
Fractional coordinates of all 4 atoms:
K: 0.375 0.375 0.250  0.01
Se: 0.991 0.991 0.984  0.02
Se: 0.759 0.759 0.516  0.02
Fe: 0.375 0.375 0.750  2.80



[2]
PmGd3Cu | GGA-PBE | relaxed

Properties
N(E_F)	8.482	states/eV/f.u.
formation enthalpy at 0 K	0.125	eV per atom

a b c (Å): 5.452 5.452 5.452
angles (deg): 90.00 90.00 90.00
Last column: magnetic moment on the atom in μB.
Fractional coordinates of all 5 atoms:
Pm: 0.500 0.500 0.500  -0.05
Gd: 0.000 0.000 0.500  7.07
Gd: 0.000 0.500 0.000  7.07
Gd: 0.500 0.000 0.000  7.07
Cu: 0.000 0.000 0.000  0.03



Repeat the second record exactly.
PmGd3Cu | GGA-PBE | relaxed

Properties
N(E_F)	8.482	states/eV/f.u.
formation enthalpy at 0 K	0.125	eV per atom

a b c (Å): 5.452 5.452 5.452
angles (deg): 90.00 90.00 90.00
Last column: magnetic moment on the atom in μB.
Fractional coordinates of all 5 atoms:
Pm: 0.500 0.500 0.500  -0.05
Gd: 0.000 0.000 0.500  7.07
Gd: 0.000 0.500 0.000  7.07
Gd: 0.500 0.000 0.000  7.07
Cu: 0.000 0.000 0.000  0.03